DFT (GGA+U) results for a relaxed structure of Mn2NbAg2O6. Values from VASP.

Electronic total energy, eV per atom: -6.886
Spin magnetization, Bohr magnetons per cell: 9.00

Quantum ESPRESSO input file:
```
&SYSTEM
  ibrav = 0, nat = 11, ntyp = 4
/
ATOMIC_SPECIES
O 16.00 O.upf
Ag 107.87 Ag.upf
Mn 54.94 Mn.upf
Nb 92.91 Nb.upf
CELL_PARAMETERS angstrom
5.444 -0.015 -0.235
-2.704 4.726 -0.235
-1.347 -2.315 6.069
ATOMIC_POSITIONS angstrom
O 0.114 0.195 1.739
O -1.444 0.483 3.972
O 1.133 -1.016 3.972
O 1.280 2.200 3.861
O 2.837 1.913 1.628
O 0.261 3.412 1.628
Ag 3.902 0.882 -0.235
Ag -1.162 3.829 -0.235
Mn -0.630 1.970 2.800
Mn 2.024 0.426 2.800
Nb -0.673 -1.158 3.035
```